A plane-wave DFT calculation with PBE was carried out for a relaxed LiIn2PdPb crystal.

Output
**Energy relative to the elements**: -0.14 eV per atom

Cell: 5.166 5.166 4.831 Å, 90.00 90.00 90.00°
Atoms (fractional coordinates):
In: 0.000 0.500 0.000
In: 0.500 0.000 0.000
Li: 0.000 0.000 0.500
Pb: 0.500 0.500 0.500
Pd: 0.000 0.000 0.000

***

A plane-wave DFT calculation with PBE was carried out for a relaxed LiInPd2Pb crystal.

Output
**Energy relative to the elements**: 0.39 eV per atom

Cell: 5.061 5.596 5.061 Å, 90.00 90.00 90.00°
Atoms (fractional coordinates):
Li: 0.500 0.500 0.500
Pd: 0.000 0.000 0.500
Pd: 0.500 0.000 0.000
In: 0.000 0.000 0.000
Pb: 0.000 0.500 0.000

***

A plane-wave DFT calculation with PBE was carried out for a relaxed LiPmInPb crystal.

Output
**Energy relative to the elements**: -0.35 eV per atom
**ΔE to the lowest computed polymorph**: 0.32 eV per formula unit

Cell: 5.292 5.292 5.292 Å, 60.00 60.00 60.00°
Atoms (fractional coordinates):
In: 0.250 0.250 0.250
Pm: 0.500 0.500 0.500
Li: 0.000 0.000 0.000
Pb: 0.750 0.750 0.750

***

A plane-wave DFT calculation with PBE was carried out for a relaxed LiPmInPb crystal.

Output
**Energy relative to the elements**: -0.43 eV per atom
**ΔE to the lowest computed polymorph**: 0.00 eV per formula unit

Cell: 4.564 4.688 4.781 Å, 90.00 90.00 90.00°
Atoms (fractional coordinates):
In: 0.500 0.500 0.000
Pb: 0.500 0.000 0.500
Pm: 0.000 0.500 0.500
Li: 0.000 0.000 0.000